Computed, not measured: an optimized crystal structure of Sm3Dy2Er3 at the GGA-PBE level of DFT.

## Properties
- Total DFT energy (no corrections): -36.0 eV/cell
- N(E_F): 2.298 states/eV/atom
- Energy above the lowest structure with this stoichiometry: 108 meV/atom
- ΔH_f (0 K): 0.1283 eV/atom

a = 8.449 Å, b = 8.449 Å, c = 8.449 Å
α = 138.98°, β = 138.97°, γ = 59.41°
Element x y z (fractional)
Sm (0.000, 0.000, 0.000)
Sm (0.373, 0.873, 0.500)
Sm (0.627, 0.127, 0.500)
Dy (0.251, 0.251, 0.000)
Dy (0.749, 0.749, 0.000)
Er (0.124, 0.624, 0.500)
Er (0.500, 0.500, 0.000)
Er (0.876, 0.376, 0.500)